# V2FeGe, optimized geometry, DFT GGA-PBE
data_V2FeGe
_cell_length_a 3.662
_cell_length_b 3.662
_cell_length_c 3.857
_cell_angle_alpha 90.00
_cell_angle_beta 90.00
_cell_angle_gamma 90.00
_space_group_name_H-M_alt 'P 4/m m m'
_space_group_IT_number 123
_space_group_name_Hall '-P 4 2'
loop_
_atom_site_label
_atom_site_type_symbol
_atom_site_fract_x
_atom_site_fract_y
_atom_site_fract_z
_atom_site_occupancy
V1 V 0.000 0.500 0.000 1
Fe1 Fe 0.000 0.000 0.500 1
Ge1 Ge 0.500 0.500 0.500 1
# Magnetization ... 1.75 μB/cell
# Formation enthalpy at 0 K ... -0.210 eV per atom
# Electronic total energy ... -8.0394 eV per atom

=====

# Pr8Ge3SeI4, optimized geometry, DFT GGA-PBE
data_Pr8Ge3SeI4
_cell_length_a 8.7500
_cell_length_b 8.7500
_cell_length_c 23.2449
_cell_angle_alpha 90.00
_cell_angle_beta 90.00
_cell_angle_gamma 120.00
_space_group_name_H-M_alt 'R -3 m'
_space_group_IT_number 166
_space_group_name_Hall '-R 3 2"'
loop_
_atom_site_label
_atom_site_type_symbol
_atom_site_fract_x
_atom_site_fract_y
_atom_site_fract_z
_atom_site_occupancy
Pr1 Pr 0.0000 0.0000 0.2333 1
Pr2 Pr 0.0054 0.5027 0.7673 1
Ge1 Ge 0.0000 0.5000 0.5000 1
Se1 Se 0.0000 0.0000 0.5000 1
I1 I 0.0000 0.0000 0.0000 1
I2 I 0.0000 0.5000 0.0000 1
# Magnetization ... 0.00 μB/cell
# Raw formation energy ... -26.29 kcal/mol of atoms
# Electronic total energy ... -5.0010 eV per atom